(1)
Dy5HfRu6: relaxed, GGA-PBE.

Cell lengths 4.7573, 14.2741, 6.7642 Å; angles 90.00, 90.00, 90.00 degrees
Space group Cmmm (No. 65)
Inequivalent atoms, fractional coordinates:
Dy 0.0000 0.0000 0.0000 x2
Dy 0.0000 0.3338 0.0000 x4
Dy 0.0000 0.3339 0.5000 x4
Hf 0.0000 0.0000 0.5000 x2
Ru 0.0000 0.1609 0.2562 x8
Ru 0.0000 0.5000 0.2621 x4

Results
As for the formation energy: -0.401 eV per atom. The value obtained for the density is 11.5 g/cm³. Its total magnetization is 0.00 μB/cell.

=====

(2)
ScAlOs3: relaxed, GGA-PBE.

Cell lengths 4.4516, 4.4516, 4.4516 Å; angles 90.00, 90.00, 90.00 degrees
Space group Pm-3m (No. 221)
Inequivalent atoms, fractional coordinates:
Sc 0.0000 0.0000 0.0000 x1
Al 0.5000 0.5000 0.5000 x1
Os 0.0000 0.5000 0.5000 x3

Results
As for the formation energy: 0.945 eV per atom. The value obtained for the density is 12.1 g/cm³. As for the energy relative to the lowest polymorph listed for this composition: 0 meV/atom. Its total magnetization is 0.00 μB/cell.

=====

(3)
Pr2Dy2Th: relaxed, GGA-PBE.

Cell lengths 3.6235, 3.6235, 44.0698 Å; angles 90.00, 90.00, 120.00 degrees
Space group R-3m (No. 166, hexagonal axes)
Inequivalent atoms, fractional coordinates:
Pr 0.0000 0.0000 0.2011 x6
Dy 0.0000 0.0000 0.3970 x6
Th 0.0000 0.0000 0.0000 x3

Results
As for the formation energy: 0.016 eV per atom. The value obtained for the density is 8.3 g/cm³. Its total magnetization is 0.00 μB/cell.